CoTePb2 after structural relaxation, computed with PBE-GGA.

Unit cell a=15.340 b=3.449 c=4.005 alpha=90.00 beta=105.05 gamma=90.00
Space group C2/m (No. 12)
Unique sites:
Co1 0.000 0.000 0.000 [2 per cell]
Te1 0.000 0.500 0.500 [2 per cell]
Pb1 0.167 0.500 0.167 [4 per cell]

E_form (uncorrected) (eV/atom): 0.204
Distance to the lowest polymorph of the same formula (kcal/mol of atoms): 2.822
Final energy (eV per atom): -4.212
Total magnetization (μB per formula unit): 0.00